Record 1
VASP calculation (GGA-PBE) on crystalline CeEuTlCu at its relaxed geometry.

POSCAR file:
```
CeEuTlCu
1.0
0.000 3.788 3.788
3.788 0.000 3.788
3.788 3.788 0.000
Ce Eu Tl Cu
1 1 1 1
direct
0.000 0.000 0.000 Ce
0.500 0.500 0.500 Eu
0.750 0.750 0.750 Tl
0.250 0.250 0.250 Cu
```

Computed properties:
Symmetry: F-43m, No. 216
Total DFT energy (no corrections) in eV per atom: -5.780
Energy of formation from the pure elements in eV per atom: -0.113

***

Record 2
VASP calculation (GGA-PBE) on crystalline Rb2NaPbBr5 at its relaxed geometry.

POSCAR file:
```
Rb2NaPbBr5
1.0
2.319 -9.743 0.000
2.319 9.743 0.000
0.000 0.000 15.258
Rb Na Pb Br
4 2 2 10
direct
0.090 0.910 0.500 Rb
0.130 0.870 0.136 Rb
0.870 0.130 0.636 Rb
0.910 0.090 0.000 Rb
0.458 0.542 0.285 Na
0.542 0.458 0.785 Na
0.222 0.778 0.859 Pb
0.778 0.222 0.359 Pb
0.069 0.931 0.888 Br
0.269 0.731 0.496 Br
0.301 0.699 0.230 Br
0.376 0.624 0.828 Br
0.499 0.501 0.611 Br
0.501 0.499 0.111 Br
0.624 0.376 0.328 Br
0.699 0.301 0.730 Br
0.731 0.269 0.996 Br
0.931 0.069 0.388 Br
```

Computed properties:
Energy relative to the elements, uncorrected in meV/atom: -1430
Symmetry: Cmc2_1, No. 36
Total DFT energy (no corrections) in eV per atom: -3.133

***

Record 3
VASP calculation (GGA-PBE) on crystalline Li2TlIn at its relaxed geometry.

POSCAR file:
```
Li2TlIn
1.0
3.265 0.000 0.000
0.000 4.884 0.000
0.000 0.000 5.120
Li Tl In
2 1 1
direct
0.000 0.000 0.000 Li
0.000 0.500 0.386 Li
0.500 0.500 0.896 Tl
0.500 0.000 0.490 In
```

Computed properties:
Symmetry: Pmm2, No. 25
Total DFT energy (no corrections) in eV per atom: -2.477
Energy of formation from the pure elements in eV per atom: -0.244

***

Record 4
VASP calculation (GGA-PBE) on crystalline KLi2P at its relaxed geometry.

POSCAR file:
```
KLi2P
1.0
3.774 -2.179 0.000
3.774 2.179 0.000
-2.472 0.000 5.826
K Li P
1 2 1
direct
0.000 0.000 0.000 K
0.170 0.170 0.513 Li
0.480 0.480 0.440 Li
0.811 0.811 0.435 P
```

Computed properties:
Symmetry: Cm, No. 8
Total DFT energy (no corrections) in eV per atom: -3.112
Energy of formation from the pure elements in eV per atom: -0.528

***

Record 5
VASP calculation (GGA-PBE) on crystalline Mg3Hg at its relaxed geometry.

POSCAR file:
```
Mg3Hg
1.0
11.439 0.000 0.000
0.000 11.439 0.000
0.000 0.000 5.554
Mg Hg
24 8
direct
0.028 0.929 0.245 Mg
0.071 0.528 0.745 Mg
0.111 0.280 0.027 Mg
0.146 0.831 0.727 Mg
0.169 0.646 0.227 Mg
0.220 0.111 0.473 Mg
0.280 0.389 0.473 Mg
0.331 0.854 0.227 Mg
0.354 0.669 0.727 Mg
0.389 0.220 0.027 Mg
0.429 0.972 0.745 Mg
0.472 0.571 0.245 Mg
0.528 0.429 0.755 Mg
0.571 0.028 0.255 Mg
0.611 0.780 0.973 Mg
0.646 0.331 0.273 Mg
0.669 0.146 0.773 Mg
0.720 0.611 0.527 Mg
0.780 0.889 0.527 Mg
0.831 0.354 0.773 Mg
0.854 0.169 0.273 Mg
0.889 0.720 0.973 Mg
0.929 0.472 0.255 Mg
0.972 0.071 0.755 Mg
0.041 0.291 0.525 Hg
0.209 0.041 0.975 Hg
0.291 0.459 0.975 Hg
0.459 0.209 0.525 Hg
0.541 0.791 0.475 Hg
0.709 0.541 0.025 Hg
0.791 0.959 0.025 Hg
0.959 0.709 0.475 Hg
```

Computed properties:
Symmetry: P4_2/n, No. 86
Total DFT energy (no corrections) in eV per atom: -1.417
Energy of formation from the pure elements in eV per atom: -0.146

***

Record 6
VASP calculation (GGA-PBE) on crystalline LaTh2In at its relaxed geometry.

POSCAR file:
```
LaTh2In
1.0
0.000 3.945 3.945
3.945 0.000 3.945
3.945 3.945 0.000
La Th In
1 2 1
direct
0.000 0.000 0.000 La
0.250 0.250 0.250 Th
0.750 0.750 0.750 Th
0.500 0.500 0.500 In
```

Computed properties:
Symmetry: Fm-3m, No. 225
Total DFT energy (no corrections) in eV per atom: -5.613
Energy of formation from the pure elements in eV per atom: 0.013
Energy above the lowest structure with this stoichiometry in eV/atom: 0.190